First-principles (PBEsol) data for a relaxed Ti2SiTeP crystal, as listed in Alexandria.

POSCAR file:
```
Ti2SiTeP
1.0
4.698 0.000 0.000
0.000 4.698 0.000
0.000 0.000 4.272
Ti Si Te P
2 1 1 1
Direct
0.000 0.500 0.000
0.500 0.000 0.000
0.000 0.000 0.500
0.500 0.500 0.500
0.000 0.000 0.000
```

Space group: P4/mmm (123)
Density of states at the Fermi level in states/eV per cell: 4.73
Formation energy without anion corrections in meV/atom: 6
Electronic total energy in eV per atom: -6.336